GGA-PBE AlPSe2Br, relaxed; excess energy over the best structure of this formula in the dataset = 0.0 meV/atom; DFT total energy = -3.25 eV/atom; SG = P4/mmm; total moment = 0.000 μB per atom; DOS(E_F) = 4.2 states/eV/cell; E_form (uncorrected) = 307 meV/atom
1.0
4.8802 0.0000 0.0000
0.0000 4.8802 0.0000
0.0000 0.0000 5.2002
Se Al P Br
2 1 1 1
direct
0.0000 0.5000 0.0000
0.5000 0.0000 0.0000
0.5000 0.5000 0.5000
0.0000 0.0000 0.0000
0.0000 0.0000 0.5000